Below is a relaxed structure of NiOs2Cl, with properties calculated at the PBE level.

* crystal system: orthorhombic
* raw formation energy: 3.958 eV/f.u.
* distance to the lowest polymorph of the same formula: 2.23 eV per formula unit

```
NiOs2Cl
1.0
-1.361 2.194 4.941
1.361 -2.194 4.941
1.361 2.194 -4.941
Ni Os Cl
1 2 1
Direct
0.000 0.000 0.000 Ni
0.241 0.741 0.500 Os
0.458 0.458 0.000 Os
0.709 0.209 0.500 Cl
```



Below is a relaxed structure of Ni2OsCl2, with properties calculated at the PBE level.

* crystal system: tetragonal
* raw formation energy: 5.065 eV/f.u.
* distance to the lowest polymorph of the same formula: 0.34 eV per formula unit

```
Ni2OsCl2
1.0
7.121 0.000 0.000
0.000 7.121 0.000
0.000 0.000 3.080
Ni Os Cl
4 2 4
Direct
0.184 0.316 0.000 Ni
0.316 0.816 0.000 Ni
0.684 0.184 0.000 Ni
0.816 0.684 0.000 Ni
0.000 0.000 0.000 Os
0.500 0.500 0.000 Os
0.148 0.648 0.500 Cl
0.352 0.148 0.500 Cl
0.648 0.852 0.500 Cl
0.852 0.352 0.500 Cl
```



Below is a relaxed structure of NiOs2Cl, with properties calculated at the PBE level.

* crystal system: tetragonal
* raw formation energy: 3.628 eV/f.u.
* distance to the lowest polymorph of the same formula: 1.90 eV per formula unit

```
NiOs2Cl
1.0
2.976 0.000 0.000
0.000 2.976 0.000
0.000 0.000 6.758
Ni Os Cl
1 2 1
Direct
0.000 0.000 0.000 Ni
0.500 0.500 0.192 Os
0.500 0.500 0.808 Os
0.000 0.000 0.500 Cl
```



Below is a relaxed structure of NiOs4Cl, with properties calculated at the PBE level.

* crystal system: cubic
* raw formation energy: 8.844 eV/f.u.

```
NiOs4Cl
1.0
0.000 3.662 3.662
3.662 0.000 3.662
3.662 3.662 0.000
Ni Os Cl
1 4 1
Direct
0.000 0.000 0.000 Ni
0.124 0.625 0.625 Os
0.625 0.124 0.625 Os
0.625 0.625 0.124 Os
0.625 0.625 0.625 Os
0.250 0.250 0.250 Cl
```



Below is a relaxed structure of NiOs2Cl, with properties calculated at the PBE level.

* crystal system: orthorhombic
* raw formation energy: 2.680 eV/f.u.
* distance to the lowest polymorph of the same formula: 0.95 eV per formula unit

```
NiOs2Cl
1.0
2.827 0.000 0.000
0.000 3.524 0.000
0.000 0.000 6.472
Ni Os Cl
1 2 1
Direct
0.000 0.000 0.000 Ni
0.000 0.000 0.397 Os
0.500 0.500 0.213 Os
0.500 0.500 0.795 Cl
```



Below is a relaxed structure of NiOs2Cl, with properties calculated at the PBE level.

* crystal system: monoclinic
* raw formation energy: 3.904 eV/f.u.
* distance to the lowest polymorph of the same formula: 2.18 eV per formula unit

```
NiOs2Cl
1.0
2.752 0.000 0.000
0.000 4.227 0.000
-1.218 0.000 5.136
Ni Os Cl
1 2 1
Direct
0.000 0.000 0.000 Ni
0.364 0.500 0.213 Os
0.636 0.500 0.787 Os
0.500 0.000 0.500 Cl
```



Below is a relaxed structure of NiOs2Cl, with properties calculated at the PBE level.

* crystal system: orthorhombic
* raw formation energy: 3.624 eV/f.u.
* distance to the lowest polymorph of the same formula: 1.90 eV per formula unit

```
NiOs2Cl
1.0
-1.428 1.764 6.042
1.428 -1.764 6.042
1.428 1.764 -6.042
Ni Os Cl
1 2 1
Direct
0.000 0.000 0.000 Ni
0.298 0.798 0.500 Os
0.702 0.202 0.500 Os
0.500 0.500 0.000 Cl
```



Below is a relaxed structure of NiOs2Cl, with properties calculated at the PBE level.

* crystal system: trigonal
* raw formation energy: 3.026 eV/f.u.
* distance to the lowest polymorph of the same formula: 1.30 eV per formula unit

```
NiOs2Cl
1.0
1.390 0.802 8.396
-1.390 0.802 8.396
0.000 -1.605 8.396
Ni Os Cl
1 2 1
Direct
0.000 0.000 0.000 Ni
0.254 0.254 0.254 Os
0.746 0.746 0.746 Os
0.500 0.500 0.500 Cl
```



Below is a relaxed structure of NiOs2Cl, with properties calculated at the PBE level.

* crystal system: tetragonal
* raw formation energy: 2.125 eV/f.u.
* distance to the lowest polymorph of the same formula: 0.40 eV per formula unit

```
NiOs2Cl
1.0
2.826 0.000 0.000
0.000 2.826 0.000
0.000 0.000 7.374
Ni Os Cl
1 2 1
Direct
0.000 0.000 0.000 Ni
0.000 0.000 0.464 Os
0.500 0.500 0.240 Os
0.500 0.500 0.728 Cl
```



Below is a relaxed structure of Ni2OsCl2, with properties calculated at the PBE level.

* crystal system: tetragonal
* raw formation energy: 5.693 eV/f.u.
* distance to the lowest polymorph of the same formula: 0.96 eV per formula unit

```
Ni2OsCl2
1.0
-1.934 1.934 5.391
1.934 -1.934 5.391
1.934 1.934 -5.391
Ni Os Cl
2 1 2
Direct
0.108 0.108 0.000 Ni
0.892 0.892 0.000 Ni
0.500 0.500 0.000 Os
0.250 0.750 0.500 Cl
0.750 0.250 0.500 Cl
```



Below is a relaxed structure of NiOs2Cl, with properties calculated at the PBE level.

* crystal system: cubic
* raw formation energy: 4.406 eV/f.u.
* distance to the lowest polymorph of the same formula: 2.68 eV per formula unit

```
NiOs2Cl
1.0
0.000 3.058 3.058
3.058 0.000 3.058
3.058 3.058 0.000
Ni Os Cl
1 2 1
Direct
0.000 0.000 0.000 Ni
0.500 0.500 0.500 Os
0.750 0.750 0.750 Os
0.250 0.250 0.250 Cl
```



Below is a relaxed structure of Ni2OsCl2, with properties calculated at the PBE level.

* crystal system: tetragonal
* raw formation energy: 4.730 eV/f.u.
* distance to the lowest polymorph of the same formula: 0.00 eV per formula unit

```
Ni2OsCl2
1.0
6.901 0.000 0.000
0.000 6.901 0.000
0.000 0.000 2.985
Ni Os Cl
4 2 4
Direct
0.183 0.317 0.000 Ni
0.317 0.817 0.000 Ni
0.683 0.183 0.000 Ni
0.817 0.683 0.000 Ni
0.000 0.000 0.500 Os
0.500 0.500 0.500 Os
0.148 0.648 0.500 Cl
0.352 0.148 0.500 Cl
0.648 0.852 0.500 Cl
0.852 0.352 0.500 Cl
```



Below is a relaxed structure of NiOs2Cl, with properties calculated at the PBE level.

* crystal system: monoclinic
* raw formation energy: 2.027 eV/f.u.
* distance to the lowest polymorph of the same formula: 0.30 eV per formula unit

```
NiOs2Cl
1.0
2.827 0.000 0.000
0.000 3.442 0.000
-0.012 0.000 6.523
Ni Os Cl
1 2 1
Direct
0.000 0.000 0.000 Ni
0.003 0.000 0.405 Os
0.502 0.500 0.216 Os
0.005 0.500 0.715 Cl
```



Below is a relaxed structure of Ni4OsCl, with properties calculated at the PBE level.

* crystal system: cubic
* raw formation energy: 4.485 eV/f.u.

```
Ni4OsCl
1.0
0.000 3.390 3.390
3.390 0.000 3.390
3.390 3.390 0.000
Ni Os Cl
4 1 1
Direct
0.124 0.124 0.124 Ni
0.124 0.124 0.627 Ni
0.124 0.627 0.124 Ni
0.627 0.124 0.124 Ni
0.750 0.750 0.750 Os
0.500 0.500 0.500 Cl
```



Below is a relaxed structure of NiOs2Cl, with properties calculated at the PBE level.

* crystal system: monoclinic
* raw formation energy: 3.546 eV/f.u.
* distance to the lowest polymorph of the same formula: 1.82 eV per formula unit

```
NiOs2Cl
1.0
4.097 -1.403 0.000
4.097 1.403 0.000
-1.001 0.000 4.965
Ni Os Cl
1 2 1
Direct
0.000 0.000 0.000 Ni
0.252 0.252 0.781 Os
0.748 0.748 0.219 Os
0.500 0.500 0.500 Cl
```



Below is a relaxed structure of NiOs2Cl, with properties calculated at the PBE level.

* crystal system: orthorhombic
* raw formation energy: 4.175 eV/f.u.
* distance to the lowest polymorph of the same formula: 2.45 eV per formula unit

```
NiOs2Cl
1.0
2.710 0.000 0.000
0.000 4.513 0.000
0.000 0.000 4.712
Ni Os Cl
1 2 1
Direct
0.000 0.000 0.000 Ni
0.000 0.500 0.500 Os
0.500 0.500 0.000 Os
0.500 0.000 0.500 Cl
```



Below is a relaxed structure of NiOsCl4, with properties calculated at the PBE level.

* crystal system: cubic
* raw formation energy: 10.564 eV/f.u.

```
NiOsCl4
1.0
0.000 3.971 3.971
3.971 0.000 3.971
3.971 3.971 0.000
Ni Os Cl
1 1 4
Direct
0.000 0.000 0.000 Ni
0.750 0.750 0.750 Os
0.375 0.375 0.375 Cl
0.375 0.375 0.874 Cl
0.375 0.874 0.375 Cl
0.874 0.375 0.375 Cl
```



Below is a relaxed structure of NiOs2Cl, with properties calculated at the PBE level.

* crystal system: monoclinic
* raw formation energy: 2.593 eV/f.u.
* distance to the lowest polymorph of the same formula: 0.87 eV per formula unit

```
NiOs2Cl
1.0
3.389 -1.393 0.000
3.389 1.393 0.000
-2.871 0.000 7.219
Ni Os Cl
1 2 1
Direct
0.000 0.000 0.000 Ni
0.212 0.212 0.760 Os
0.394 0.394 0.561 Os
0.701 0.701 0.255 Cl
```



Below is a relaxed structure of NiOs2Cl, with properties calculated at the PBE level.

* crystal system: orthorhombic
* raw formation energy: 3.654 eV/f.u.
* distance to the lowest polymorph of the same formula: 1.93 eV per formula unit

```
NiOs2Cl
1.0
1.359 -2.398 0.000
1.359 2.398 0.000
0.000 0.000 8.834
Ni Os Cl
1 2 1
Direct
0.000 0.000 0.000 Ni
0.500 0.500 0.241 Os
0.500 0.500 0.759 Os
0.000 0.000 0.500 Cl
```



Below is a relaxed structure of NiOs2Cl, with properties calculated at the PBE level.

* crystal system: trigonal
* raw formation energy: 1.726 eV/f.u.
* distance to the lowest polymorph of the same formula: 0.00 eV per formula unit

```
NiOs2Cl
1.0
1.407 0.812 8.195
-1.407 0.812 8.195
0.000 -1.624 8.195
Ni Os Cl
1 2 1
Direct
0.000 0.000 0.000 Ni
0.250 0.250 0.250 Os
0.499 0.499 0.499 Os
0.740 0.740 0.740 Cl
```